(a)
Here is Ta2NiS4 after structural relaxation from Alexandria. Energies are from GGA-PBE.

Structure (POSCAR):
```
Ta2NiS4
1.0
-2.215 2.215 6.249
2.215 -2.215 6.249
2.215 2.215 -6.249
Ta Ni S
2 1 4
Cartesian
0.000 0.000 1.413
0.000 0.000 11.085
0.000 0.000 6.249
2.215 0.000 0.000
0.000 0.000 3.782
0.000 2.215 0.000
0.000 0.000 8.716
```

Output
total magnetic moment	0.07	μB per atom



(b)
Here is Ta2NiS4 after structural relaxation from Alexandria. Energies are from GGA-PBE.

Structure (POSCAR):
```
Ta2NiS4
1.0
3.360 0.000 0.000
-1.680 2.910 0.000
0.000 0.000 12.644
Ta Ni S
2 1 4
Cartesian
0.000 0.000 2.938
0.000 0.000 9.705
0.000 0.000 0.000
0.000 1.940 1.381
0.000 1.940 4.495
1.680 0.970 8.148
1.680 0.970 11.263
```

Output
total magnetic moment	0.03	μB per atom



On energetic grounds, (b) is preferred over the next structure by 0.992 eV/atom.



(a)
Here is Ta2NiS after structural relaxation from Alexandria. Energies are from GGA-PBE.

Structure (POSCAR):
```
Ta2NiS
1.0
1.475 0.852 8.746
-1.475 0.852 8.746
0.000 -1.704 8.746
Ta Ni S
2 1 1
Cartesian
0.000 0.000 2.445
0.000 0.000 23.793
0.000 0.000 0.000
0.000 0.000 13.119
```

Output
total magnetic moment	0.00	μB per atom



(b)
Here is Ta2NiS after structural relaxation from Alexandria. Energies are from GGA-PBE.

Structure (POSCAR):
```
Ta2NiS
1.0
0.000 3.085 3.085
3.085 0.000 3.085
3.085 3.085 0.000
Ta Ni S
2 1 1
Cartesian
1.542 1.542 1.542
4.627 4.627 4.627
0.000 0.000 0.000
3.085 3.085 3.085
```

Output
total magnetic moment	0.00	μB per atom



(c)
Here is Ta2NiS after structural relaxation from Alexandria. Energies are from GGA-PBE.

Structure (POSCAR):
```
Ta2NiS
1.0
-2.746 2.746 5.422
2.746 -2.746 5.422
2.746 2.746 -5.422
Ta Ni S
4 2 2
Cartesian
4.120 1.301 -1.356
1.301 1.373 1.356
-1.373 1.446 4.067
1.446 1.373 6.778
0.000 0.000 0.000
0.000 2.746 2.711
2.746 0.000 2.711
0.000 0.000 5.422
```

Output
total magnetic moment	0.00	μB per atom



On energetic grounds, (b) is preferred over the next structure by 0.413 eV/atom.



(a)
Here is TaNiS3 after structural relaxation from Alexandria. Energies are from GGA-PBE.

Structure (POSCAR):
```
TaNiS3
1.0
4.313 0.000 0.000
0.000 4.313 0.000
0.000 0.000 4.313
Ta Ni S
1 1 3
Cartesian
0.000 0.000 0.000
2.156 2.156 2.156
0.000 2.156 2.156
2.156 0.000 2.156
2.156 2.156 0.000
```

Output
total magnetic moment	0.00	μB per atom



(b)
Here is TaNiS3 after structural relaxation from Alexandria. Energies are from GGA-PBE.

Structure (POSCAR):
```
TaNiS3
1.0
5.912 0.000 0.000
0.000 3.372 0.000
-1.482 0.000 10.175
Ta Ni S
2 2 6
Cartesian
-0.234 0.843 1.904
4.664 2.529 8.271
0.822 0.843 7.558
3.607 2.529 2.617
0.104 2.529 6.361
-0.109 0.843 9.657
1.381 2.529 2.613
3.049 0.843 7.562
4.538 2.529 0.518
4.325 0.843 3.815
```

Output
total magnetic moment	0.00	μB per atom



On energetic grounds, (b) is preferred over the next structure by 1.211 eV/atom.



(a)
Here is Tb2NiS after structural relaxation from Alexandria. Energies are from GGA-PBE.

Structure (POSCAR):
```
Tb2NiS
1.0
1.928 1.113 6.947
-1.928 1.113 6.947
0.000 -2.226 6.947
Tb Ni S
2 1 1
Cartesian
0.000 0.000 0.000
0.000 0.000 3.772
0.000 0.000 12.303
0.000 0.000 8.818
```

Output
total magnetic moment	0.00	μB per atom



(b)
Here is Tb2NiS after structural relaxation from Alexandria. Energies are from GGA-PBE.

Structure (POSCAR):
```
Tb2NiS
1.0
1.923 -11.133 0.000
1.923 11.133 0.000
0.000 0.000 3.962
Tb Ni S
4 2 2
Cartesian
1.923 9.653 2.971
1.923 4.119 2.971
1.923 -4.119 0.990
1.923 -9.653 0.990
1.923 0.762 2.971
1.923 -0.762 0.990
1.923 6.865 2.971
1.923 -6.865 0.990
```

Output
total magnetic moment	0.00	μB per atom



On energetic grounds, (b) is preferred over the next structure by 0.165 eV/atom.



(a)
Here is TcNi3S after structural relaxation from Alexandria. Energies are from GGA-PBE.

Structure (POSCAR):
```
TcNi3S
1.0
4.467 0.000 0.000
0.000 4.467 0.000
0.000 0.000 4.467
Tc Ni S
1 3 1
Cartesian
0.000 0.000 0.000
0.000 0.000 2.234
0.000 2.234 0.000
2.234 0.000 0.000
2.234 2.234 2.234
```

Output
total magnetic moment	0.00	μB per atom



(b)
Here is TcNi3S after structural relaxation from Alexandria. Energies are from GGA-PBE.

Structure (POSCAR):
```
TcNi3S
1.0
4.079 0.000 0.000
0.000 4.079 0.000
0.000 0.000 4.079
Tc Ni S
1 3 1
Cartesian
0.000 0.000 0.000
0.000 2.040 2.040
2.040 0.000 2.040
2.040 2.040 0.000
2.040 2.040 2.040
```

Output
total magnetic moment	0.00	μB per atom



On energetic grounds, (b) is preferred over the next structure by 1.003 eV/atom.



(a)
Here is Tc2NiS2 after structural relaxation from Alexandria. Energies are from GGA-PBE.

Structure (POSCAR):
```
Tc2NiS2
1.0
-2.060 2.060 4.357
2.060 -2.060 4.357
2.060 2.060 -4.357
Tc Ni S
2 1 2
Cartesian
2.060 0.000 2.178
0.000 2.060 2.178
0.000 0.000 0.000
0.000 0.000 3.209
0.000 0.000 5.504
```

Output
total magnetic moment	0.00	μB per atom



(b)
Here is Tc2NiS2 after structural relaxation from Alexandria. Energies are from GGA-PBE.

Structure (POSCAR):
```
Tc2NiS2
1.0
6.766 0.000 0.000
0.000 6.766 0.000
0.000 0.000 2.905
Tc Ni S
4 2 4
Cartesian
1.033 2.350 0.000
2.350 5.733 0.000
4.415 1.033 0.000
5.733 4.415 0.000
0.000 0.000 1.453
3.383 3.383 1.453
1.020 4.403 1.453
2.362 1.020 1.453
4.403 5.745 1.453
5.745 2.362 1.453
```

Output
total magnetic moment	0.00	μB per atom



On energetic grounds, (a) is preferred over the next structure by 0.027 eV/atom.